# 1
Entry from the Alexandria database: Tb2ThAl6 after structural relaxation (PBE-GGA). Values from VASP.

## Properties
Distance to the lowest polymorph of the same formula: 256.2 meV per atom
Theoretical density: 5.522 g/cm3
VASP energy: -4.557 eV per atom
ΔE_f: -1.875 eV/f.u.

Cell and atoms, written as Quantum ESPRESSO input:
```
&SYSTEM
  ibrav = 0, nat = 9, ntyp = 3
/
ATOMIC_SPECIES
Tb 158.93 Tb.upf
Th 232.04 Th.upf
Al 26.98 Al.upf
ATOMIC_POSITIONS crystal
Tb 0.126 0.126 0.000
Tb 0.874 0.874 0.000
Th 0.500 0.000 0.500
Al 0.129 0.319 0.810
Al 0.182 0.500 0.682
Al 0.491 0.681 0.810
Al 0.509 0.319 0.190
Al 0.818 0.500 0.318
Al 0.871 0.681 0.190
CELL_PARAMETERS angstrom
-2.175 3.633 6.773
2.175 -3.633 6.773
2.175 3.633 -6.773
```

# 2
Entry from the Alexandria database: CsIn4Sn2 after structural relaxation (PBE-GGA). Values from VASP.

## Properties
Distance to the lowest polymorph of the same formula: 36.5 meV per atom
Theoretical density: 5.711 g/cm3
VASP energy: -2.892 eV per atom
ΔE_f: -0.433 eV/f.u.

Cell and atoms, written as Quantum ESPRESSO input:
```
&SYSTEM
  ibrav = 0, nat = 7, ntyp = 3
/
ATOMIC_SPECIES
Cs 132.91 Cs.upf
In 114.82 In.upf
Sn 118.71 Sn.upf
ATOMIC_POSITIONS crystal
Cs 0.000 0.000 0.000
In 0.140 0.140 0.140
In 0.445 0.445 0.445
In 0.555 0.555 0.555
In 0.860 0.860 0.860
Sn 0.245 0.245 0.245
Sn 0.755 0.755 0.755
CELL_PARAMETERS angstrom
2.679 1.547 9.701
-2.679 1.547 9.701
0.000 -3.094 9.701
```